Ba3MgRu2O9: relaxed, PBE.

Output
The calculation puts the energy relative to the elements, uncorrected at -1986 meV per atom. For the total energy, the calculation gives -6.688 eV per atom. The total magnetization is 5.30 μB/f.u. As for the space group: P-3m1. The calculation puts the excess energy over the best structure of this formula in the dataset at 23 meV/atom.

abc: 5.7719 5.7719 7.0792
angles: 90.00 90.00 120.00
Each line ends with the local moment (μB).
Fractional coordinates of all 15 atoms:
Ba 0.3333 0.6667 0.6673  0.02
Ba 0.0000 0.0000 0.0000  0.01
Ba 0.6667 0.3333 0.3327  0.02
Mg 0.0000 0.0000 0.5000  0.00
Ru 0.3333 0.6667 0.1724  1.64
Ru 0.6667 0.3333 0.8276  1.64
O 0.8274 0.1726 0.6746  0.16
O 0.8274 0.6547 0.6746  0.16
O 0.3453 0.1726 0.6746  0.16
O 0.6547 0.8274 0.3254  0.16
O 0.1726 0.3453 0.3254  0.16
O 0.1726 0.8274 0.3254  0.16
O 0.5000 0.0000 0.0000  0.17
O 0.0000 0.5000 0.0000  0.17
O 0.5000 0.5000 0.0000  0.17